No. 1
Hf2ZrHg3 | Alexandria via LeMat-Bulk | PBE | optimized geometry; space group = P-1 (2); theoretical density = 13.72 g/cm3; energy = -0.1829 hartree per atom; total magnetic moment = 0.000 μB per formula unit
1.0
4.447 0.000 0.000
2.193 4.829 0.000
0.039 1.769 5.918
Hf Zr Hg
2 1 3
Direct
0.168 0.165 0.334
0.832 0.835 0.666
0.500 0.500 0.000
0.166 0.168 0.832
0.500 0.500 0.500
0.834 0.832 0.168


No. 2
Hf2Zr2Hg3 | Alexandria via LeMat-Bulk | PBE | optimized geometry; space group = Cmmm (65); theoretical density = 11.85 g/cm3; energy = -0.1969 hartree per atom; total magnetic moment = 0.000 μB per formula unit
1.0
2.408 -10.540 0.000
2.408 10.540 0.000
0.000 0.000 3.149
Hf Zr Hg
2 2 3
Direct
0.146 0.854 0.000
0.854 0.146 0.000
0.278 0.722 0.500
0.722 0.278 0.500
0.000 0.000 0.000
0.421 0.579 0.500
0.579 0.421 0.500


No. 3
HfZr3Hg | Alexandria via LeMat-Bulk | PBE | optimized geometry; space group = P2_1/m (11); energy above the lowest structure with this stoichiometry = 0.000 eV per atom; theoretical density = 9.60 g/cm3; energy = -0.2664 hartree per atom; total magnetic moment = 0.000 μB per formula unit
1.0
6.910 0.000 0.000
0.000 4.472 0.000
-0.231 0.000 7.310
Hf Zr Hg
2 6 2
Direct
0.061 0.250 0.352
0.939 0.750 0.648
0.157 0.750 0.050
0.238 0.250 0.757
0.345 0.750 0.475
0.655 0.250 0.525
0.762 0.750 0.243
0.843 0.250 0.950
0.448 0.250 0.157
0.552 0.750 0.843


No. 4
HfZr3Hg | Alexandria via LeMat-Bulk | PBE | optimized geometry; space group = C2/c (15); energy above the lowest structure with this stoichiometry = 0.130 eV per atom; theoretical density = 9.57 g/cm3; energy = -0.2616 hartree per atom; total magnetic moment = 0.000 μB per formula unit
1.0
6.200 -4.935 0.000
6.200 4.935 0.000
-4.981 0.000 7.403
Hf Zr Hg
4 12 4
Direct
0.068 0.742 0.802
0.258 0.932 0.698
0.742 0.068 0.302
0.932 0.258 0.198
0.143 0.273 0.571
0.165 0.457 0.954
0.222 0.544 0.383
0.273 0.143 0.071
0.456 0.778 0.117
0.457 0.165 0.454
0.543 0.835 0.546
0.544 0.222 0.883
0.727 0.857 0.929
0.778 0.456 0.617
0.835 0.543 0.046
0.857 0.727 0.429
0.125 0.875 0.250
0.447 0.553 0.750
0.553 0.447 0.250
0.875 0.125 0.750


No. 5
HfZrHg3 | Alexandria via LeMat-Bulk | PBE | optimized geometry; space group = C2/c (15); energy above the lowest structure with this stoichiometry = 0.000 eV per atom; theoretical density = 12.90 g/cm3; energy = -0.1428 hartree per atom; total magnetic moment = 0.000 μB per formula unit
1.0
2.650 -8.110 0.000
2.650 8.110 0.000
-1.017 0.000 5.221
Hf Zr Hg
2 2 6
Direct
0.051 0.949 0.750
0.949 0.051 0.250
0.449 0.551 0.750
0.551 0.449 0.250
0.143 0.857 0.250
0.249 0.751 0.750
0.357 0.643 0.250
0.643 0.357 0.750
0.751 0.249 0.250
0.857 0.143 0.750


No. 6
HfZr3Hg4 | Alexandria via LeMat-Bulk | PBE | optimized geometry; space group = Pmmm (47); theoretical density = 12.01 g/cm3; energy = -0.1730 hartree per atom; total magnetic moment = 0.000 μB per formula unit
1.0
3.496 0.000 0.000
0.000 4.982 0.000
0.000 0.000 9.961
Hf Zr Hg
1 3 4
Direct
0.000 0.000 0.000
0.000 0.000 0.500
0.000 0.500 0.251
0.000 0.500 0.749
0.500 0.000 0.247
0.500 0.000 0.753
0.500 0.500 0.000
0.500 0.500 0.500


No. 7
Hf2ZrHg2 | Alexandria via LeMat-Bulk | PBE | optimized geometry; space group = Cmmm (65); energy above the lowest structure with this stoichiometry = 0.072 eV per atom; theoretical density = 12.85 g/cm3; energy = -0.2088 hartree per atom; total magnetic moment = 0.000 μB per formula unit
1.0
2.252 -7.699 0.000
2.252 7.699 0.000
0.000 0.000 3.165
Hf Zr Hg
2 1 2
Direct
0.185 0.815 0.000
0.815 0.185 0.000
0.000 0.000 0.000
0.393 0.607 0.500
0.607 0.393 0.500


No. 8
Hf3Zr2Hg2 | Alexandria via LeMat-Bulk | PBE | optimized geometry; space group = Cmmm (65); theoretical density = 12.08 g/cm3; energy = -0.2473 hartree per atom; total magnetic moment = 0.398 μB per formula unit
1.0
2.374 -10.438 0.000
2.374 10.438 0.000
0.000 0.000 3.103
Hf Zr Hg
3 2 2
Direct
0.000 0.000 0.000
0.145 0.855 0.000
0.855 0.145 0.000
0.279 0.721 0.500
0.721 0.279 0.500
0.427 0.573 0.500
0.573 0.427 0.500